No. 1
## Sm7Mg4Sc (GGA-PBE)

Data for crystalline Sm7Mg4Sc at its relaxed geometry.

Computed properties:
SG   C2/m, No. 12
Formation enthalpy at 0 K   0.138 eV/atom

a = 8.1495 Å, b = 8.1495 Å, c = 9.7084 Å
α = 118.88°, β = 118.88°, γ = 41.15°
With the nearest neighbours (Å) after each atom.
Atoms (fractional coordinates):
Sm (0.0000, 0.0000, 0.0000)  2 Sc 2.86, 2 Mg 3.03
Sm (0.2535, 0.2535, 0.7201)  4 Mg 3.11-3.26, 1 Sc 3.31, 1 Sm 3.46
Sm (0.3052, 0.3052, 0.1222)  7 Sm 3.54-3.78, 3 Mg 3.55-3.66, 1 Sc 3.73
Sm (0.4165, 0.4165, 0.5714)  5 Mg 3.19-3.44, 2 Sm 3.46-3.47
Sm (0.5835, 0.5835, 0.4286)  5 Mg 3.19-3.44, 2 Sm 3.46-3.47
Sm (0.6948, 0.6948, 0.8778)  7 Sm 3.54-3.78, 3 Mg 3.55-3.66, 1 Sc 3.73
Sm (0.7465, 0.7465, 0.2799)  4 Mg 3.11-3.26, 1 Sc 3.31, 1 Sm 3.46
Mg (0.0411, 0.0411, 0.6932)  2 Mg 3.09-3.29, 4 Sm 3.11-3.35
Mg (0.1735, 0.1735, 0.3479)  5 Sm 3.03-3.26, 1 Mg 3.09
Mg (0.8265, 0.8265, 0.6521)  5 Sm 3.03-3.26, 1 Mg 3.09
Mg (0.9589, 0.9589, 0.3068)  2 Mg 3.09-3.29, 4 Sm 3.11-3.35
Sc (0.5000, 0.5000, 0.0000)  2 Sm 2.86

No. 2
## CaLaGa (GGA-PBE)

Data for crystalline CaLaGa at its relaxed geometry.

Computed properties:
SG   P1, No. 1
Energy above the most stable polymorph in this dataset   156 meV/atom
Formation enthalpy at 0 K   -0.287 eV/atom

a = 3.9791 Å, b = 5.4730 Å, c = 8.6207 Å
α = 71.50°, β = 89.97°, γ = 90.00°
With the nearest neighbours (Å) after each atom.
Atoms (fractional coordinates):
Ca (0.0000, 0.0000, 0.0000)  6 Ga 3.35-3.43, 2 La 3.49, 2 Ca 3.59-3.60
Ca (0.4969, 0.8175, 0.3665)  6 La 3.38-3.61, 2 Ca 3.59-3.60, 4 Ga 3.69-3.71
La (0.9939, 0.6325, 0.7344)  6 Ga 3.33-3.43, 4 Ca 3.49-3.61
La (0.9970, 0.3194, 0.3625)  4 Ga 3.16-3.20, 4 Ca 3.38
Ga (0.4970, 0.1650, 0.6695)  6 La 3.20-3.43, 2 Ca 3.35-3.36
Ga (0.4972, 0.4680, 0.0617)  4 La 3.16-3.34, 4 Ca 3.41-3.43

no.,calculated volume (Å³ per atom)
1,30.291
2,29.673